No. 1
Density functional theory data (PBE-GGA) for crystalline AcPm2YS4 at its relaxed geometry.

Total magnetization = 0.00 μB per cell
Crystal system = monoclinic
E_form (uncorrected) = -1.9866 eV per atom
Volume = 192 Å³/f.u.
DOS at the Fermi energy = 4.81 states/eV/cell

```
data_AcPm2YS4
_cell_length_a 7.0330
_cell_length_b 4.0339
_cell_length_c 7.1597
_cell_angle_alpha 90.00
_cell_angle_beta 108.92
_cell_angle_gamma 90.00
_symmetry_space_group_name_H-M 'P 1 2/m 1'
_symmetry_Int_Tables_number 10
_symmetry_space_group_name_Hall '-P 2y'
loop_
_atom_site_label
_atom_site_type_symbol
_atom_site_fract_x
_atom_site_fract_y
_atom_site_fract_z
Ac1 Ac 0.0000 0.0000 0.0000
Pm1 Pm 0.5000 0.0000 0.5000
Pm2 Pm 0.5000 0.5000 0.0000
Y1 Y 0.0000 0.5000 0.5000
S1 S 0.2471 0.0000 0.7358
S2 S 0.2578 0.5000 0.2666
```



No. 2
Density functional theory data (PBE-GGA) for crystalline AcPmY2S4 at its relaxed geometry.

Total magnetization = 0.00 μB per cell
Crystal system = monoclinic
E_form (uncorrected) = -1.9904 eV per atom
Volume = 188 Å³/f.u.
DOS at the Fermi energy = 4.27 states/eV/cell

```
data_AcPmY2S4
_cell_length_a 6.9377
_cell_length_b 3.9791
_cell_length_c 7.1695
_cell_angle_alpha 90.00
_cell_angle_beta 108.65
_cell_angle_gamma 90.00
_symmetry_space_group_name_H-M 'P 1 2/m 1'
_symmetry_Int_Tables_number 10
_symmetry_space_group_name_Hall '-P 2y'
loop_
_atom_site_label
_atom_site_type_symbol
_atom_site_fract_x
_atom_site_fract_y
_atom_site_fract_z
Ac1 Ac 0.0000 0.0000 0.0000
Pm1 Pm 0.5000 0.5000 0.0000
Y1 Y 0.0000 0.5000 0.5000
Y2 Y 0.5000 0.0000 0.5000
S1 S 0.2505 0.0000 0.7318
S2 S 0.2652 0.5000 0.2741
```



No. 3
Density functional theory data (PBE-GGA) for crystalline Ac4PmY3S8 at its relaxed geometry.

Total magnetization = 0.00 μB per cell
Crystal system = trigonal
E_form (uncorrected) = -1.9927 eV per atom
Volume = 398 Å³/f.u.
DOS at the Fermi energy = 22.30 states/eV/cell

```
data_Ac4PmY3S8
_cell_length_a 8.1253
_cell_length_b 8.1253
_cell_length_c 20.8583
_cell_angle_alpha 90.00
_cell_angle_beta 90.00
_cell_angle_gamma 120.00
_symmetry_space_group_name_H-M 'R -3 m'
_symmetry_Int_Tables_number 166
_symmetry_space_group_name_Hall '-R 3 2"'
loop_
_atom_site_label
_atom_site_type_symbol
_atom_site_fract_x
_atom_site_fract_y
_atom_site_fract_z
Ac1 Ac 0.0000 0.0000 0.0000
Ac2 Ac 0.0000 0.5000 0.0000
Pm1 Pm 0.0000 0.0000 0.5000
Y1 Y 0.0000 0.5000 0.5000
S1 S 0.0000 0.0000 0.2397
S2 S 0.0054 0.5027 0.7592
```



No. 4
Density functional theory data (PBE-GGA) for crystalline AcPmYS3 at its relaxed geometry.

Total magnetization = 1.12 μB per cell
Crystal system = monoclinic
E_form (uncorrected) = -1.8063 eV per atom
Volume = 159 Å³/f.u.
DOS at the Fermi energy = 5.61 states/eV/cell

```
data_AcPmYS3
_cell_length_a 7.8925
_cell_length_b 4.0875
_cell_length_c 10.1642
_cell_angle_alpha 90.00
_cell_angle_beta 103.52
_cell_angle_gamma 90.00
_symmetry_space_group_name_H-M 'P 1 21/m 1'
_symmetry_Int_Tables_number 11
_symmetry_space_group_name_Hall '-P 2yb'
loop_
_atom_site_label
_atom_site_type_symbol
_atom_site_fract_x
_atom_site_fract_y
_atom_site_fract_z
Ac1 Ac 0.1892 0.2500 0.2128
Pm1 Pm 0.3351 0.7500 0.9070
Y1 Y 0.1739 0.2500 0.6215
S1 S 0.0905 0.2500 0.8839
S2 S 0.1904 0.7500 0.4440
S3 S 0.4811 0.7500 0.1973
```